Entry 1:
Computed, not measured: ErTmCo2Si2C after structural relaxation at the PBE-GGA level of DFT.

```
ErTmCo2Si2C
1.0
-0.592 5.078 2.280
-2.498 4.898 -1.053
-2.990 -5.690 2.018
C Co Er Si Tm
1 2 1 2 1
direct
0.000 0.000 0.999 C
0.200 0.200 0.089 Co
0.800 0.800 0.911 Co
0.564 0.564 0.297 Er
0.845 0.845 0.299 Si
0.155 0.155 0.702 Si
0.437 0.437 0.704 Tm
```

Computed properties:
Total moment   0.003 μB per atom
Raw total energy   -6.8853 eV/atom

=====

Entry 2:
Computed, not measured: Er2CoSi2WC after structural relaxation at the PBE-GGA level of DFT.

```
Er2CoSi2WC
1.0
1.506 4.067 -3.789
-2.326 3.979 -3.453
0.591 0.533 6.864
C Co Er Si W
1 1 2 2 1
direct
0.012 0.012 0.009 C
0.208 0.208 0.091 Co
0.570 0.570 0.298 Er
0.434 0.434 0.706 Er
0.844 0.844 0.308 Si
0.131 0.131 0.676 Si
0.802 0.802 0.911 W
```

Computed properties:
Total moment   0.001 μB per atom
Raw total energy   -7.6083 eV/atom

=====

Entry 3:
Computed, not measured: YErCo2Si2C after structural relaxation at the PBE-GGA level of DFT.

```
YErCo2Si2C
1.0
5.261 -1.929 0.000
5.261 1.929 0.000
-4.305 0.000 5.215
C Co Er Si Y
1 2 1 2 1
direct
0.000 0.000 0.000 C
0.199 0.199 0.088 Co
0.801 0.801 0.912 Co
0.563 0.563 0.296 Er
0.844 0.844 0.297 Si
0.156 0.156 0.703 Si
0.436 0.436 0.703 Y
```

Computed properties:
Total moment   0.002 μB per atom
Raw total energy   -7.1648 eV/atom

=====

Entry 4:
Computed, not measured: TbErCo2Sn2C after structural relaxation at the PBE-GGA level of DFT.

```
TbErCo2Sn2C
1.0
-5.601 -0.419 2.236
-3.698 -3.959 2.684
5.495 3.357 3.174
C Co Er Sn Tb
1 2 1 2 1
direct
0.999 0.999 0.997 C
0.177 0.177 0.073 Co
0.822 0.822 0.926 Co
0.449 0.449 0.728 Er
0.837 0.837 0.300 Sn
0.164 0.164 0.702 Sn
0.552 0.552 0.275 Tb
```

Computed properties:
Total moment   0.001 μB per atom
Raw total energy   -6.2467 eV/atom

=====

Entry 5:
Computed, not measured: FeCo2C after structural relaxation at the PBE-GGA level of DFT.

```
FeCo2C
1.0
-2.294 4.061 -1.594
-6.014 -2.970 1.089
-0.041 1.601 4.140
C Co Fe
4 8 4
direct
0.883 0.250 0.068 C
0.383 0.250 0.432 C
0.617 0.750 0.568 C
0.117 0.750 0.932 C
0.180 0.070 0.172 Co
0.180 0.430 0.172 Co
0.680 0.070 0.328 Co
0.680 0.430 0.328 Co
0.320 0.570 0.672 Co
0.320 0.930 0.672 Co
0.820 0.570 0.828 Co
0.820 0.930 0.828 Co
0.462 0.750 0.166 Fe
0.962 0.750 0.334 Fe
0.038 0.250 0.666 Fe
0.538 0.250 0.834 Fe
```

Computed properties:
Total moment   0.998 μB per atom
Raw total energy   -7.8412 eV/atom

=====

Entry 6:
Computed, not measured: Lu2FeCoGe2C after structural relaxation at the PBE-GGA level of DFT.

```
Lu2FeCoGe2C
1.0
5.270 -1.929 0.000
5.270 1.929 0.000
-4.088 0.000 5.314
C Co Fe Ge Lu
1 1 1 2 2
direct
0.002 0.002 0.002 C
0.804 0.804 0.914 Co
0.195 0.195 0.084 Fe
0.841 0.841 0.304 Ge
0.158 0.158 0.696 Ge
0.558 0.558 0.286 Lu
0.442 0.442 0.713 Lu
```

Computed properties:
Total moment   0.001 μB per atom
Raw total energy   -6.7378 eV/atom

=====

Entry 7:
Computed, not measured: Nd2FeCoGe2C after structural relaxation at the PBE-GGA level of DFT.

```
Nd2FeCoGe2C
1.0
5.465 -2.017 0.000
5.465 2.017 0.000
-4.380 0.000 5.536
C Co Fe Ge Nd
1 1 1 2 2
direct
0.002 0.002 0.003 C
0.810 0.810 0.921 Co
0.189 0.189 0.076 Fe
0.828 0.828 0.277 Ge
0.171 0.171 0.723 Ge
0.558 0.558 0.295 Nd
0.442 0.442 0.706 Nd
```

Computed properties:
Total moment   0.005 μB per atom
Raw total energy   -6.7702 eV/atom

=====

Entry 8:
Computed, not measured: Tb2FeCoGe2C after structural relaxation at the PBE-GGA level of DFT.

```
Tb2FeCoGe2C
1.0
5.360 -1.969 0.000
5.360 1.969 0.000
-4.268 0.000 5.403
C Co Fe Ge Tb
1 1 1 2 2
direct
0.003 0.003 0.003 C
0.806 0.806 0.917 Co
0.193 0.193 0.080 Fe
0.837 0.837 0.293 Ge
0.162 0.162 0.706 Ge
0.559 0.559 0.290 Tb
0.441 0.441 0.710 Tb
```

Computed properties:
Total moment   0.001 μB per atom
Raw total energy   -6.7861 eV/atom

=====

Entry 9:
Computed, not measured: Tm2FeCoGe2C after structural relaxation at the PBE-GGA level of DFT.

```
Tm2FeCoGe2C
1.0
5.289 -1.943 0.000
5.289 1.943 0.000
-4.131 0.000 5.323
C Co Fe Ge Tm
1 1 1 2 2
direct
0.998 0.998 0.997 C
0.195 0.195 0.086 Co
0.806 0.806 0.916 Fe
0.840 0.840 0.301 Ge
0.161 0.161 0.699 Ge
0.558 0.558 0.287 Tm
0.442 0.442 0.712 Tm
```

Computed properties:
Total moment   0.002 μB per atom
Raw total energy   -6.7375 eV/atom

=====

Entry 10:
Computed, not measured: Y2FeCoGe2C after structural relaxation at the PBE-GGA level of DFT.

```
Y2FeCoGe2C
1.0
5.345 -1.966 0.000
5.345 1.966 0.000
-4.231 0.000 5.384
C Co Fe Ge Y
1 1 1 2 2
direct
0.002 0.002 0.003 C
0.806 0.806 0.916 Co
0.193 0.193 0.082 Fe
0.837 0.837 0.294 Ge
0.162 0.162 0.705 Ge
0.559 0.559 0.291 Y
0.441 0.441 0.709 Y
```

Computed properties:
Total moment   0.001 μB per atom
Raw total energy   -7.3132 eV/atom

=====

Entry 11:
Computed, not measured: Hf4FeCoC2 after structural relaxation at the PBE-GGA level of DFT.

```
Hf4FeCoC2
1.0
-2.060 -0.373 2.451
0.329 -2.334 -2.198
9.561 -5.442 7.207
C Co Fe Hf
2 1 1 4
direct
0.667 0.333 0.248 C
0.667 0.333 0.752 C
0.000 0.000 0.000 Co
0.333 0.667 0.500 Fe
0.333 0.667 0.148 Hf
0.000 0.000 0.351 Hf
0.000 0.000 0.649 Hf
0.333 0.667 0.852 Hf
```

Computed properties:
Total moment   0.169 μB per atom
Raw total energy   -9.6006 eV/atom

=====

Entry 12:
Computed, not measured: K2FeCoC6N6 after structural relaxation at the PBE-GGA level of DFT.

```
K2FeCoC6N6
1.0
0.436 -0.062 7.048
0.748 6.070 -3.531
-6.326 -3.117 0.364
C Co Fe K N
6 1 1 2 6
direct
0.813 0.000 0.187 C
0.187 0.373 0.187 C
0.187 0.000 0.187 C
0.813 0.000 0.813 C
0.813 0.627 0.813 C
0.187 0.000 0.813 C
0.500 0.000 0.500 Co
0.000 0.000 0.000 Fe
0.750 0.500 0.250 K
0.250 0.500 0.750 K
0.305 0.609 0.305 N
0.305 0.000 0.305 N
0.695 0.000 0.305 N
0.305 0.000 0.695 N
0.695 0.391 0.695 N
0.695 0.000 0.695 N
```

Computed properties:
Total moment   0.132 μB per atom
Raw total energy   -7.6488 eV/atom